Record 1
A relaxed structure of HoPaPt, computed with PBE.

The structure in CIF format:
```
data_HoPaPt
_cell_length_a 4.7728
_cell_length_b 4.7728
_cell_length_c 3.4998
_cell_angle_alpha 90.00
_cell_angle_beta 90.00
_cell_angle_gamma 120.00
_symmetry_space_group_name_H-M 'P 3 m 1'
_symmetry_Int_Tables_number 156
_symmetry_space_group_name_Hall 'P 3 -2"'
loop_
_atom_site_label
_atom_site_type_symbol
_atom_site_fract_x
_atom_site_fract_y
_atom_site_fract_z
_atom_site_occupancy
Ho1 Ho 0.0000 0.0000 0.0000 1
Pa1 Pa 0.3333 0.6667 0.6103 1
Pt1 Pt 0.6667 0.3333 0.3560 1
```

total energy = -7.055 eV per atom
energy of formation from the pure elements = -0.350 eV/atom
D(E_F) = 3.40 states/eV/cell
offset from the most stable computed form = 0.231 eV/atom
crystal system = trigonal

=====

Record 2
A relaxed structure of La6Pd2Rh, computed with PBE.

The structure in CIF format:
```
data_La6Pd2Rh
_cell_length_a 6.879
_cell_length_b 7.634
_cell_length_c 12.322
_cell_angle_alpha 90.00
_cell_angle_beta 120.18
_cell_angle_gamma 90.00
_symmetry_space_group_name_H-M 'P 1 21/c 1'
_symmetry_Int_Tables_number 14
_symmetry_space_group_name_Hall '-P 2ybc'
loop_
_atom_site_label
_atom_site_type_symbol
_atom_site_fract_x
_atom_site_fract_y
_atom_site_fract_z
_atom_site_occupancy
La1 La 0.098 0.045 0.254 1
La2 La 0.240 0.675 0.073 1
La3 La 0.398 0.185 0.069 1
Pd1 Pd 0.332 0.115 0.772 1
Rh1 Rh 0.000 0.000 0.000 1
```

total energy = -5.801 eV per atom
energy of formation from the pure elements = -0.546 eV/atom
D(E_F) = 21.26 states/eV/cell
crystal system = monoclinic

=====

Record 3
A relaxed structure of ErTmH2, computed with PBE.

The structure in CIF format:
```
data_ErTmH2
_cell_length_a 3.4383
_cell_length_b 3.4383
_cell_length_c 17.3106
_cell_angle_alpha 90.00
_cell_angle_beta 90.00
_cell_angle_gamma 120.00
_symmetry_space_group_name_H-M 'R 3 m'
_symmetry_Int_Tables_number 160
_symmetry_space_group_name_Hall 'R 3 -2"'
loop_
_atom_site_label
_atom_site_type_symbol
_atom_site_fract_x
_atom_site_fract_y
_atom_site_fract_z
_atom_site_occupancy
Er1 Er 0.0000 0.0000 0.0000 1
Tm1 Tm 0.0000 0.0000 0.1807 1
H1 H 0.0000 0.0000 0.5869 1
H2 H 0.0000 0.0000 0.7688 1
```

total energy = -4.205 eV per atom
D(E_F) = 4.23 states/eV/cell
offset from the most stable computed form = 0.249 eV/atom
crystal system = trigonal